[1]
Compound: Er2HfSe4
Source: the Alexandria database
Functional: PBE-GGA
Structure: relaxed

calculated volume = 177 Å³ per cell
raw formation energy = -10.99 eV/f.u.

abc: 3.9797 7.0497 7.4998
angles: 117.91 105.39 90.00
Sites, in units of the cell vectors:
Hf  0.0000  0.0000  0.0000
Se  0.6224  0.2803  0.2448
Er  0.7408  0.7544  0.4817
Se  0.1146  0.7931  0.2292
Er  0.2592  0.2456  0.5183
Se  0.3776  0.7197  0.7552
Se  0.8854  0.2069  0.7708

[2]
Compound: KAg2B
Source: the Alexandria database
Functional: PBE-GGA
Structure: relaxed

calculated formation energy = 0.51 eV/atom
calculated volume = 210 Å³ per cell

abc: 5.6703 5.6703 7.6567
angles: 68.27 68.27 90.00
Sites, in units of the cell vectors:
K  0.0000  0.0000  0.0000
Ag  0.3750  0.1250  0.2500
Ag  0.3750  0.6250  0.2500
K  0.7500  0.2500  0.5000
Ag  0.3750  0.6250  0.7500
Ag  0.8750  0.6250  0.7500
B  0.5000  0.5000  0.0000
B  0.2500  0.7500  0.5000

[3]
Compound: Ag5S
Source: the Alexandria database
Functional: PBE-GGA
Structure: relaxed

calculated volume = 107 Å³ per cell
raw formation energy = 0.43 eV/f.u.

abc: 4.0922 4.1488 6.6408
angles: 108.20 90.00 90.00
Sites, in units of the cell vectors:
Ag  0.0000  0.3331  0.6661
S  0.0000  0.0000  0.0000
Ag  0.0000  0.6669  0.3339
Ag  0.5000  0.5000  0.0000
Ag  0.5000  0.1687  0.3375
Ag  0.5000  0.8313  0.6625

[4]
Compound: Ba2Zn2Hg
Source: the Alexandria database
Functional: PBE-GGA
Structure: relaxed

calculated formation energy = -0.22 eV/atom
offset from the most stable computed form = 0.0 meV per atom
calculated volume = 334 Å³ per cell

abc: 8.7052 8.7052 4.4081
angles: 90.00 90.00 90.00
Sites, in units of the cell vectors:
Ba  0.3057  0.1943  0.5000
Ba  0.6943  0.8057  0.5000
Ba  0.8057  0.3057  0.5000
Hg  0.0000  0.0000  0.0000
Zn  0.6029  0.1029  0.0000
Zn  0.1029  0.3971  0.0000
Zn  0.8971  0.6029  0.0000
Zn  0.3971  0.8971  0.0000
Ba  0.1943  0.6943  0.5000
Hg  0.5000  0.5000  0.0000

[5]
Compound: MgZnSe2
Source: the Alexandria database
Functional: PBE-GGA
Structure: relaxed

calculated volume = 203 Å³ per cell
raw formation energy = -3.80 eV/f.u.

abc: 5.8862 5.8862 7.1787
angles: 65.80 65.80 90.00
Sites, in units of the cell vectors:
Mg  0.5000  0.5000  0.0000
Mg  0.2500  0.7500  0.5000
Se  0.8750  0.8896  0.7500
Se  0.6396  0.1250  0.2500
Zn  0.0000  0.0000  0.0000
Se  0.3750  0.3604  0.7500
Se  0.1104  0.6250  0.2500
Zn  0.7500  0.2500  0.5000

[6]
Compound: CeTiS2N
Source: the Alexandria database
Functional: PBE-GGA
Structure: relaxed

calculated volume = 180 Å³ per cell
raw formation energy = -7.01 eV/f.u.

abc: 3.7366 3.7366 12.8979
angles: 90.00 90.00 90.00
Sites, in units of the cell vectors:
Ce  0.0000  0.5000  0.4040
Ti  0.5000  0.0000  0.1015
S  0.0000  0.5000  0.7201
S  0.0000  0.5000  0.0936
S  0.5000  0.0000  0.2799
Ti  0.0000  0.5000  0.8985
Ce  0.5000  0.0000  0.5960
N  0.5000  0.5000  0.5000
S  0.5000  0.0000  0.9064
N  0.0000  0.0000  0.5000

[7]
Compound: SiNiTeIr2
Source: the Alexandria database
Functional: PBE-GGA
Structure: relaxed

calculated volume = 98 Å³ per cell
raw formation energy = 6.58 eV/f.u.

abc: 4.6207 4.6090 4.6207
angles: 90.00 90.00 90.00
Sites, in units of the cell vectors:
Ir  0.0000  0.0000  0.5000
Ni  0.0000  0.0000  0.0000
Te  0.0000  0.5000  0.0000
Ir  0.5000  0.0000  0.0000
Si  0.5000  0.5000  0.5000

[8]
Compound: CaUIr2
Source: the Alexandria database
Functional: PBE-GGA
Structure: relaxed

calculated formation energy = -0.48 eV/atom
offset from the most stable computed form = 0.0 meV per atom
calculated volume = 83 Å³ per cell

abc: 3.3897 3.3897 7.2180
angles: 90.00 90.00 90.00
Sites, in units of the cell vectors:
Ca  0.5000  0.5000  0.5000
Ir  0.0000  0.0000  0.7876
U  0.5000  0.5000  0.0000
Ir  0.0000  0.0000  0.2124

[9]
Compound: PrCu4Pd4
Source: the Alexandria database
Functional: PBE-GGA
Structure: relaxed

calculated formation energy = -0.15 eV/atom
calculated volume = 299 Å³ per cell

abc: 4.6179 8.0404 8.0404
angles: 90.00 90.00 90.00
Sites, in units of the cell vectors:
Pd  0.0071  0.0710  0.6458
Pd  0.4929  0.4290  0.8542
Cu  0.9939  0.6283  0.2724
Cu  0.4939  0.7724  0.8717
Cu  0.4939  0.2276  0.1283
Cu  0.5061  0.1283  0.7724
Pd  0.0071  0.9290  0.3542
Cu  0.5061  0.8717  0.2276
Pd  0.9929  0.6458  0.9290
Pd  0.9929  0.3542  0.0710
Pr  0.5000  0.5000  0.5000
Pd  0.5071  0.1458  0.4290
Pd  0.5071  0.8542  0.5710
Pr  0.0000  0.0000  0.0000
Pd  0.4929  0.5710  0.1458
Cu  0.0061  0.7276  0.6283
Cu  0.9939  0.3717  0.7276
Cu  0.0061  0.2724  0.3717

[10]
Compound: PmEr2Tm6Sc
Source: the Alexandria database
Functional: PBE-GGA
Structure: relaxed

calculated formation energy = 0.13 eV/atom
calculated volume = 607 Å³ per cell

abc: 9.2425 8.6186 8.6186
angles: 117.13 93.21 93.21
Sites, in units of the cell vectors:
Tm  0.0574  0.1277  0.7547
Er  0.4497  0.7971  0.6913
Sc  0.2500  0.4141  0.5859
Er  0.0503  0.3087  0.2029
Tm  0.6876  0.0062  0.5612
Tm  0.1133  0.7089  0.4893
Tm  0.3867  0.5107  0.2911
Tm  0.6133  0.4893  0.7089
Tm  0.9426  0.8723  0.2453
Er  0.5503  0.2029  0.3087
Tm  0.1876  0.5612  0.0062
Er  0.9497  0.6913  0.7971
Tm  0.8124  0.4388  0.9938
Tm  0.8867  0.2911  0.5107
Tm  0.5574  0.7547  0.1277
Pm  0.7500  0.0262  0.9738
Tm  0.4426  0.2453  0.8723
Pm  0.2500  0.9738  0.0262
Tm  0.3124  0.9938  0.4388
Sc  0.7500  0.5859  0.4141